An optimized crystal structure of AlFe2Co2, computed with PBE.

Cell lengths 3.6800, 3.6800, 18.8133 Å; angles 90.00, 90.00, 90.00 degrees
Closest atoms and distances in Å follow each position.
Space group I4/mmm (No. 139)
Inequivalent atoms, fractional coordinates:
Al  0.0000  0.0000  0.1235  8 Co 2.77-3.01, 8 Fe 2.83-2.96
Fe  0.0000  0.0000  0.3176  5 Co 2.06-2.24
Fe  0.0000  0.5000  0.0000  4 Co 2.30
Co  0.0000  0.0000  0.4270  5 Fe 2.06-2.30
Co  0.0000  0.5000  0.2500  4 Fe 2.24

Total moment: 5.8 μB/f.u.
Total energy: -6.656 eV/atom